Entry 1:
The following is a PBE calculation of AcGe2Ir4 after structural relaxation, from the Alexandria database.

Formation energy from the elements ... -0.3863 eV per atom
Crystal system ... orthorhombic

abc: 7.5837 7.5837 4.1462
angles: 90.00 90.00 147.78
Sites, in units of the cell vectors:
Ac1 0.0000 0.0000 0.0000
Ge1 0.4049 0.5951 0.5000
Ge2 0.5951 0.4049 0.5000
Ir1 0.1833 0.8167 0.5000
Ir2 0.3135 0.6865 0.0000
Ir3 0.6865 0.3135 0.0000
Ir4 0.8167 0.1833 0.5000


Entry 2:
The following is a PBE calculation of Ac2Ge6Ir after structural relaxation, from the Alexandria database.

Distance to the lowest polymorph of the same formula ... 53 meV/atom
Formation energy from the elements ... -0.4464 eV per atom
Crystal system ... orthorhombic

abc: 4.4130 11.7907 11.7907
angles: 20.46 90.00 90.00
Sites, in units of the cell vectors:
Ac1 0.0000 0.0000 0.0000
Ac2 0.0000 0.3306 0.3306
Ge1 0.0000 0.6098 0.6098
Ge2 0.0000 0.7167 0.7167
Ge3 0.5000 0.1058 0.1058
Ge4 0.5000 0.2134 0.2134
Ge5 0.5000 0.4469 0.4469
Ge6 0.5000 0.8809 0.8809
Ir1 0.5000 0.7724 0.7724


Entry 3:
The following is a PBE calculation of Ac8Ge2Ir after structural relaxation, from the Alexandria database.

Formation energy from the elements ... -0.3848 eV per atom
Crystal system ... monoclinic

abc: 10.1759 10.1759 9.5788
angles: 97.13 97.13 25.12
Sites, in units of the cell vectors:
Ac1 0.0065 0.0065 0.2062
Ac2 0.2179 0.2179 0.3429
Ac3 0.3456 0.3456 0.0016
Ac4 0.4013 0.4013 0.4519
Ac5 0.5987 0.5987 0.5481
Ac6 0.6544 0.6544 0.9984
Ac7 0.7821 0.7821 0.6571
Ac8 0.9935 0.9935 0.7938
Ge1 0.1794 0.1794 0.7592
Ge2 0.8206 0.8206 0.2408
Ir1 0.5000 0.5000 0.0000


Entry 4:
The following is a PBE calculation of AcGeIr after structural relaxation, from the Alexandria database.

Distance to the lowest polymorph of the same formula ... 460 meV/atom
Formation energy from the elements ... -0.3534 eV per atom
Crystal system ... cubic

abc: 4.7952 4.7952 4.7952
angles: 60.00 60.00 60.00
Sites, in units of the cell vectors:
Ac1 0.0000 0.0000 0.0000
Ge1 0.5000 0.5000 0.5000
Ir1 0.7500 0.7500 0.7500